Entry from Alexandria via LeMat-Bulk: CaV2PO8 after structural relaxation (GGA+U).

extended XYZ file:
```
12
Lattice="5.585 0.000 0.000 -2.793 4.837 0.000 0.000 0.000 5.860" Properties=species:S:1:pos:R:3 pbc="T T T"
Ca 0.000 0.000 0.000
V 0.000 3.225 3.492
V 2.793 1.612 2.367
P 0.000 0.000 2.930
O 0.000 1.406 3.965
O -1.575 4.134 3.965
O 1.217 0.703 1.895
O 0.000 3.225 1.866
O 2.793 1.612 3.993
O 1.575 4.134 3.965
O 4.368 0.703 1.895
O 2.793 3.431 1.895
```

The volume comes out at 158 Å³/cell. The space-group type is No. 164. As for the total energy: -7.042 eV/atom.